DFT (PBE) results for crystalline Mn4Fe2P3 at its relaxed geometry.

space group	Amm2
total DFT energy (no corrections)	-8.210	eV/atom

abc: 6.095 6.095 3.250
angles: 90.00 90.00 119.63
Site moments in Bohr magnetons follow the coordinates.
Positions (direct):
Mn 0.743 0.743 0.000  1.76
Mn 0.258 0.997 0.000  1.79
Mn 0.399 0.399 0.500  2.77
Fe 0.602 0.004 0.500  2.45
Fe 0.004 0.602 0.500  2.45
Mn 0.997 0.258 0.000  1.79
P 0.334 0.664 0.000  -0.07
P 0.000 0.000 0.500  -0.07
P 0.664 0.334 0.000  -0.07


DFT (PBE) results for crystalline Mn3FeP4 at its relaxed geometry.

space group	Pm
total DFT energy (no corrections)	-7.798	eV/atom

abc: 3.140 5.167 5.815
angles: 89.99 90.00 90.00
Site moments in Bohr magnetons follow the coordinates.
Positions (direct):
Fe 0.500 0.505 0.306  0.75
Mn 0.500 0.006 0.193  1.13
P 0.000 0.312 0.074  -0.07
P 0.500 0.186 0.566  -0.08
Mn 0.000 0.497 0.702  1.52
P 0.500 0.687 0.934  -0.07
P 0.000 0.811 0.426  -0.06
Mn 0.000 0.997 0.800  1.58


DFT (PBE) results for crystalline MnFe2P at its relaxed geometry.

space group	Pmmm
total DFT energy (no corrections)	-8.022	eV/atom

abc: 2.871 3.836 5.472
angles: 45.43 90.00 90.00
Site moments in Bohr magnetons follow the coordinates.
Positions (direct):
Fe 0.500 0.500 0.000  1.00
Fe 0.000 0.000 0.000  2.36
Mn 0.500 0.500 0.500  0.19
P 0.000 0.000 0.500  0.00


DFT (PBE) results for crystalline PaMnFe2P2 at its relaxed geometry.

space group	P-3m1
total DFT energy (no corrections)	-8.491	eV/atom

abc: 3.905 3.905 6.362
angles: 90.00 90.00 120.00
Site moments in Bohr magnetons follow the coordinates.
Positions (direct):
Mn 0.000 0.000 0.500  2.70
Fe 0.667 0.333 0.358  0.87
P 0.667 0.333 0.722  0.00
Fe 0.333 0.667 0.642  0.87
Pa 0.000 0.000 0.000  -0.25
P 0.333 0.667 0.278  0.00


Formation enthalpy at 0 K across the listed records, respectively: -0.4505, -0.5963, -0.1461, -0.7557 eV/atom.